# UV2NiO8

UV2NiO8 after structural relaxation (PBE with a Hubbard U, Alexandria via LeMat-Bulk).

The structure in CIF format:
```
data_UV2NiO8
_cell_length_a 6.896
_cell_length_b 6.782
_cell_length_c 6.040
_cell_angle_alpha 90.00
_cell_angle_beta 91.69
_cell_angle_gamma 90.00
_space_group_name_H-M_alt 'C 1 2/m 1'
_space_group_IT_number 12
loop_
_space_group_symop_operation_xyz
'x,y,z'
'-x,-y,-z'
'-x,y,-z'
'x,-y,z'
'x+1/2,y+1/2,z'
'-x+1/2,-y+1/2,-z'
'-x+1/2,y+1/2,-z'
'x+1/2,-y+1/2,z'
loop_
_atom_site_label
_atom_site_fract_x
_atom_site_fract_y
_atom_site_fract_z
U1 0.000 0.000 0.000
V1 0.015 0.500 0.260
Ni1 0.000 0.000 0.500
O1 0.000 0.202 0.249
O2 0.181 0.500 0.995
O3 0.183 0.500 0.490
```

Results
Crystal system: monoclinic

=====

# UVNiO6

UVNiO6 after structural relaxation (PBE with a Hubbard U, Alexandria via LeMat-Bulk).

The structure in CIF format:
```
data_UVNiO6
_cell_length_a 5.1541
_cell_length_b 5.1541
_cell_length_c 8.9884
_cell_angle_alpha 90.00
_cell_angle_beta 90.00
_cell_angle_gamma 120.00
_space_group_name_H-M_alt 'P -3 1 c'
_space_group_IT_number 163
_space_group_name_Hall '-P 3 2c'
loop_
_atom_site_label
_atom_site_fract_x
_atom_site_fract_y
_atom_site_fract_z
U1 0.3333 0.6667 0.2500
V1 0.0000 0.0000 0.0000
Ni1 0.3333 0.6667 0.7500
O1 0.0012 0.3185 0.6246
```

Results
Crystal system: trigonal

=====

# YUNiO6

YUNiO6 after structural relaxation (PBE with a Hubbard U, Alexandria via LeMat-Bulk).

The structure in CIF format:
```
data_YUNiO6
_cell_length_a 5.2906
_cell_length_b 5.2906
_cell_length_c 10.0155
_cell_angle_alpha 90.00
_cell_angle_beta 90.00
_cell_angle_gamma 120.00
_space_group_name_H-M_alt 'P -3 1 c'
_space_group_IT_number 163
_space_group_name_Hall '-P 3 2c'
loop_
_atom_site_label
_atom_site_fract_x
_atom_site_fract_y
_atom_site_fract_z
Y1 0.0000 0.0000 0.0000
U1 0.3333 0.6667 0.2500
Ni1 0.3333 0.6667 0.7500
O1 0.0053 0.3525 0.6370
```

Results
Crystal system: trigonal

=====

# UZnNi2O6

UZnNi2O6 after structural relaxation (PBE with a Hubbard U, Alexandria via LeMat-Bulk).

The structure in CIF format:
```
data_UZnNi2O6
_cell_length_a 5.847
_cell_length_b 5.847
_cell_length_c 4.193
_cell_angle_alpha 90.00
_cell_angle_beta 90.00
_cell_angle_gamma 90.00
_space_group_name_H-M_alt 'P 4 m m'
_space_group_IT_number 99
loop_
_space_group_symop_operation_xyz
'x,y,z'
'-y,x,z'
'-x,-y,z'
'y,-x,z'
'-x,y,z'
'y,x,z'
'x,-y,z'
'-y,-x,z'
loop_
_atom_site_label
_atom_site_fract_x
_atom_site_fract_y
_atom_site_fract_z
U1 0.000 0.000 0.000
Zn1 0.500 0.500 0.942
Ni1 0.000 0.500 0.168
O1 0.000 0.000 0.508
O2 0.249 0.249 0.044
O3 0.500 0.500 0.477
```

Results
Crystal system: tetragonal

=====

# UZnNiO6

UZnNiO6 after structural relaxation (PBE with a Hubbard U, Alexandria via LeMat-Bulk).

The structure in CIF format:
```
data_UZnNiO6
_cell_length_a 5.2513
_cell_length_b 5.2513
_cell_length_c 8.9119
_cell_angle_alpha 90.00
_cell_angle_beta 90.00
_cell_angle_gamma 120.00
_space_group_name_H-M_alt 'P -3 1 c'
_space_group_IT_number 163
_space_group_name_Hall '-P 3 2c'
loop_
_atom_site_label
_atom_site_fract_x
_atom_site_fract_y
_atom_site_fract_z
U1 0.3333 0.6667 0.2500
Zn1 0.3333 0.6667 0.7500
Ni1 0.0000 0.0000 0.0000
O1 0.0053 0.3316 0.1257
```

Results
Crystal system: trigonal

=====

# VNi3O

VNi3O after structural relaxation (PBE with a Hubbard U, Alexandria via LeMat-Bulk).

The structure in CIF format:
```
data_VNi3O
_cell_length_a 4.297
_cell_length_b 4.297
_cell_length_c 4.297
_cell_angle_alpha 90.00
_cell_angle_beta 90.00
_cell_angle_gamma 90.00
_space_group_name_H-M_alt 'P m -3 m'
_space_group_IT_number 221
_space_group_name_Hall '-P 4 2 3'
loop_
_atom_site_label
_atom_site_fract_x
_atom_site_fract_y
_atom_site_fract_z
V1 0.000 0.000 0.000
Ni1 0.000 0.000 0.500
O1 0.500 0.500 0.500
```

Results
Crystal system: cubic
Energy above the lowest structure with this stoichiometry, meV/atom: 1970.3

=====

# V2Ni3O8

V2Ni3O8 after structural relaxation (PBE with a Hubbard U, Alexandria via LeMat-Bulk).

The structure in CIF format:
```
data_V2Ni3O8
_cell_length_a 6.004
_cell_length_b 11.545
_cell_length_c 8.352
_cell_angle_alpha 90.00
_cell_angle_beta 90.00
_cell_angle_gamma 90.00
_space_group_name_H-M_alt 'C m c e'
_space_group_IT_number 64
_space_group_name_Hall '-C 2ac 2'
loop_
_atom_site_label
_atom_site_fract_x
_atom_site_fract_y
_atom_site_fract_z
V1 0.000 0.123 0.119
Ni1 0.000 0.000 0.500
Ni2 0.250 0.131 0.750
O1 0.000 0.000 0.255
O2 0.000 0.248 0.729
O3 0.234 0.118 0.998
```

Results
Crystal system: orthorhombic

=====

# VNi3O

VNi3O after structural relaxation (PBE with a Hubbard U, Alexandria via LeMat-Bulk).

The structure in CIF format:
```
data_VNi3O
_cell_length_a 3.986
_cell_length_b 3.986
_cell_length_c 3.986
_cell_angle_alpha 90.00
_cell_angle_beta 90.00
_cell_angle_gamma 90.00
_space_group_name_H-M_alt 'P m -3 m'
_space_group_IT_number 221
_space_group_name_Hall '-P 4 2 3'
loop_
_atom_site_label
_atom_site_fract_x
_atom_site_fract_y
_atom_site_fract_z
V1 0.000 0.000 0.000
Ni1 0.000 0.500 0.500
O1 0.500 0.500 0.500
```

Results
Crystal system: cubic
Energy above the lowest structure with this stoichiometry, meV/atom: 0.0

=====

# V2NiO

V2NiO after structural relaxation (PBE with a Hubbard U, Alexandria via LeMat-Bulk).

The structure in CIF format:
```
data_V2NiO
_cell_length_a 6.069
_cell_length_b 6.069
_cell_length_c 6.652
_cell_angle_alpha 90.00
_cell_angle_beta 90.00
_cell_angle_gamma 90.00
_space_group_name_H-M_alt 'I -4 2 d'
_space_group_IT_number 122
_space_group_name_Hall 'I -4 2bw'
loop_
_atom_site_label
_atom_site_fract_x
_atom_site_fract_y
_atom_site_fract_z
V1 0.166 0.750 0.125
Ni1 0.000 0.000 0.500
O1 0.000 0.000 0.000
```

Results
Crystal system: tetragonal

=====

# VNiO4

VNiO4 after structural relaxation (PBE with a Hubbard U, Alexandria via LeMat-Bulk).

The structure in CIF format:
```
data_VNiO4
_cell_length_a 11.771
_cell_length_b 3.744
_cell_length_c 6.621
_cell_angle_alpha 90.00
_cell_angle_beta 106.97
_cell_angle_gamma 90.00
_space_group_name_H-M_alt 'C 1 2/m 1'
_space_group_IT_number 12
loop_
_space_group_symop_operation_xyz
'x,y,z'
'-x,-y,-z'
'-x,y,-z'
'x,-y,z'
'x+1/2,y+1/2,z'
'-x+1/2,-y+1/2,-z'
'-x+1/2,y+1/2,-z'
'x+1/2,-y+1/2,z'
loop_
_atom_site_label
_atom_site_fract_x
_atom_site_fract_y
_atom_site_fract_z
V1 0.104 0.000 0.233
Ni1 0.205 0.000 0.812
O1 0.051 0.000 0.857
O2 0.133 0.500 0.194
O3 0.137 0.000 0.495
O4 0.241 0.500 0.851
```

Results
Crystal system: monoclinic

=====

# VNiO

VNiO after structural relaxation (PBE with a Hubbard U, Alexandria via LeMat-Bulk).

The structure in CIF format:
```
data_VNiO
_cell_length_a 10.377
_cell_length_b 2.733
_cell_length_c 4.849
_cell_angle_alpha 90.00
_cell_angle_beta 90.00
_cell_angle_gamma 90.00
_space_group_name_H-M_alt 'A m m 2'
_space_group_IT_number 38
loop_
_space_group_symop_operation_xyz
'x,y,z'
'-x,-y,z'
'-x,y,z'
'x,-y,z'
'x,y+1/2,z+1/2'
'-x,-y+1/2,z+1/2'
'-x,y+1/2,z+1/2'
'x,-y+1/2,z+1/2'
loop_
_atom_site_label
_atom_site_fract_x
_atom_site_fract_y
_atom_site_fract_z
V1 0.000 0.000 0.000
V2 0.500 0.000 0.177
Ni1 0.297 0.000 0.843
O1 0.116 0.000 0.330
```

Results
Crystal system: orthorhombic

=====

# V2NiO7

V2NiO7 after structural relaxation (PBE with a Hubbard U, Alexandria via LeMat-Bulk).

The structure in CIF format:
```
data_V2NiO7
_cell_length_a 5.947
_cell_length_b 6.780
_cell_length_c 7.770
_cell_angle_alpha 82.12
_cell_angle_beta 83.22
_cell_angle_gamma 77.09
_space_group_name_H-M_alt 'P -1'
_space_group_IT_number 2
loop_
_space_group_symop_operation_xyz
'x,y,z'
'-x,-y,-z'
loop_
_atom_site_label
_atom_site_fract_x
_atom_site_fract_y
_atom_site_fract_z
V1 0.115 0.351 0.235
V2 0.301 0.824 0.909
Ni1 0.082 0.861 0.348
O1 0.059 0.573 0.316
O2 0.091 0.157 0.402
O3 0.112 0.653 0.901
O4 0.226 0.018 0.750
O5 0.249 0.909 0.107
O6 0.345 0.765 0.469
O7 0.401 0.308 0.128
```

Results
Crystal system: triclinic

=====

# V3Ni2O8

V3Ni2O8 after structural relaxation (PBE with a Hubbard U, Alexandria via LeMat-Bulk).

The structure in CIF format:
```
data_V3Ni2O8
_cell_length_a 9.677
_cell_length_b 5.894
_cell_length_c 4.990
_cell_angle_alpha 90.00
_cell_angle_beta 96.49
_cell_angle_gamma 90.00
_space_group_name_H-M_alt 'C 1 2/m 1'
_space_group_IT_number 12
loop_
_space_group_symop_operation_xyz
'x,y,z'
'-x,-y,-z'
'-x,y,-z'
'x,-y,z'
'x+1/2,y+1/2,z'
'-x+1/2,-y+1/2,-z'
'-x+1/2,y+1/2,-z'
'x+1/2,-y+1/2,z'
loop_
_atom_site_label
_atom_site_fract_x
_atom_site_fract_y
_atom_site_fract_z
V1 0.000 0.000 0.000
V2 0.000 0.260 0.500
Ni1 0.212 0.500 0.053
O1 0.103 0.000 0.352
O2 0.108 0.500 0.374
O3 0.120 0.228 0.850
```

Results
Crystal system: monoclinic

=====

# YV2NiO8

YV2NiO8 after structural relaxation (PBE with a Hubbard U, Alexandria via LeMat-Bulk).

The structure in CIF format:
```
data_YV2NiO8
_cell_length_a 5.7596
_cell_length_b 5.7596
_cell_length_c 5.8701
_cell_angle_alpha 90.00
_cell_angle_beta 90.00
_cell_angle_gamma 120.00
_space_group_name_H-M_alt 'P -3 m 1'
_space_group_IT_number 164
_space_group_name_Hall '-P 3 2"'
loop_
_atom_site_label
_atom_site_fract_x
_atom_site_fract_y
_atom_site_fract_z
Y1 0.0000 0.0000 0.0000
V1 0.3333 0.6667 0.6403
Ni1 0.0000 0.0000 0.5000
O1 0.1615 0.3231 0.7270
O2 0.3333 0.6667 0.3597
```

Results
Crystal system: trigonal

=====

# VZnNiO4

VZnNiO4 after structural relaxation (PBE with a Hubbard U, Alexandria via LeMat-Bulk).

The structure in CIF format:
```
data_VZnNiO4
_cell_length_a 5.988
_cell_length_b 6.050
_cell_length_c 8.365
_cell_angle_alpha 90.00
_cell_angle_beta 90.00
_cell_angle_gamma 90.00
_space_group_name_H-M_alt 'I m m a'
_space_group_IT_number 74
_space_group_name_Hall '-I 2b 2'
loop_
_atom_site_label
_atom_site_fract_x
_atom_site_fract_y
_atom_site_fract_z
V1 0.000 0.000 0.000
Zn1 0.000 0.250 0.368
Ni1 0.250 0.250 0.750
O1 0.000 0.015 0.773
O2 0.223 0.250 0.001
```

Results
Crystal system: orthorhombic

=====

# ZrV2NiO8

ZrV2NiO8 after structural relaxation (PBE with a Hubbard U, Alexandria via LeMat-Bulk).

The structure in CIF format:
```
data_ZrV2NiO8
_cell_length_a 5.7556
_cell_length_b 5.7556
_cell_length_c 5.6886
_cell_angle_alpha 90.00
_cell_angle_beta 90.00
_cell_angle_gamma 120.00
_space_group_name_H-M_alt 'P -3 m 1'
_space_group_IT_number 164
_space_group_name_Hall '-P 3 2"'
loop_
_atom_site_label
_atom_site_fract_x
_atom_site_fract_y
_atom_site_fract_z
Zr1 0.0000 0.0000 0.0000
V1 0.3333 0.6667 0.6692
Ni1 0.0000 0.0000 0.5000
O1 0.1593 0.3186 0.7551
O2 0.3333 0.6667 0.3845
```

Results
Crystal system: trigonal

=====

# Ni2WO

Ni2WO after structural relaxation (PBE with a Hubbard U, Alexandria via LeMat-Bulk).

The structure in CIF format:
```
data_Ni2WO
_cell_length_a 6.492
_cell_length_b 6.492
_cell_length_c 4.293
_cell_angle_alpha 90.00
_cell_angle_beta 90.00
_cell_angle_gamma 90.00
_space_group_name_H-M_alt 'I -4 2 d'
_space_group_IT_number 122
_space_group_name_Hall 'I -4 2bw'
loop_
_atom_site_label
_atom_site_fract_x
_atom_site_fract_y
_atom_site_fract_z
Ni1 0.193 0.750 0.125
W1 0.000 0.000 0.500
O1 0.000 0.000 0.000
```

Results
Crystal system: tetragonal

=====

# Zn2NiWO6

Zn2NiWO6 after structural relaxation (PBE with a Hubbard U, Alexandria via LeMat-Bulk).

The structure in CIF format:
```
data_Zn2NiWO6
_cell_length_a 5.250
_cell_length_b 5.260
_cell_length_c 9.305
_cell_angle_alpha 90.00
_cell_angle_beta 123.49
_cell_angle_gamma 90.00
_space_group_name_H-M_alt 'P 1 21/c 1'
_space_group_IT_number 14
loop_
_space_group_symop_operation_xyz
'x,y,z'
'-x,-y,-z'
'-x,y+1/2,-z+1/2'
'x,-y+1/2,z+1/2'
loop_
_atom_site_label
_atom_site_fract_x
_atom_site_fract_y
_atom_site_fract_z
Zn1 0.232 0.030 0.242
Ni1 0.000 0.000 0.500
W1 0.500 0.000 0.000
O1 0.146 0.085 0.762
O2 0.235 0.670 0.554
O3 0.420 0.186 0.578
```

Results
Crystal system: monoclinic
Energy above the lowest structure with this stoichiometry, meV/atom: 0.0

=====

# Zn2NiWO6

Zn2NiWO6 after structural relaxation (PBE with a Hubbard U, Alexandria via LeMat-Bulk).

The structure in CIF format:
```
data_Zn2NiWO6
_cell_length_a 5.305
_cell_length_b 5.451
_cell_length_c 5.707
_cell_angle_alpha 63.57
_cell_angle_beta 68.64
_cell_angle_gamma 76.90
_space_group_name_H-M_alt 'P 1'
_space_group_IT_number 1
loop_
_space_group_symop_operation_xyz
'x,y,z'
loop_
_atom_site_label
_atom_site_fract_x
_atom_site_fract_y
_atom_site_fract_z
Zn1 0.000 0.000 0.000
Zn2 0.393 0.454 0.951
Ni1 0.788 0.234 0.477
W1 0.429 0.854 0.301
O1 0.123 0.155 0.204
O2 0.234 0.619 0.631
O3 0.329 0.760 0.049
O4 0.533 0.080 0.411
O5 0.689 0.174 0.867
O6 0.757 0.637 0.261
```

Results
Crystal system: triclinic
Energy above the lowest structure with this stoichiometry, meV/atom: 74.3

=====

# ZrNi2WO

ZrNi2WO after structural relaxation (PBE with a Hubbard U, Alexandria via LeMat-Bulk).

The structure in CIF format:
```
data_ZrNi2WO
_cell_length_a 4.657
_cell_length_b 4.657
_cell_length_c 3.791
_cell_angle_alpha 90.00
_cell_angle_beta 90.00
_cell_angle_gamma 90.00
_space_group_name_H-M_alt 'P 4/m m m'
_space_group_IT_number 123
_space_group_name_Hall '-P 4 2'
loop_
_atom_site_label
_atom_site_fract_x
_atom_site_fract_y
_atom_site_fract_z
Zr1 0.000 0.000 0.000
Ni1 0.000 0.500 0.500
W1 0.500 0.500 0.500
O1 0.500 0.500 0.000
```

Results
Crystal system: tetragonal

=====

In eV per atom, the uncorrected energy values for the records above are, in order, -7.88, -7.81, -8.10, -6.13, -6.64, -1.51, -6.33, -3.48, -5.46, -6.29, -5.22, -6.49, -6.82, -7.19, -6.06, -7.49, -3.46, -5.73, -5.66, -4.49.